[1]
A relaxed structure of CrSnS2O8, computed with PBE+U.

Lattice parameters (Å, degrees): 5.0469 5.0469 7.4833 91.89 91.89 62.98
Positions (direct):
S 0.3640 0.3640 0.7728
S 0.6360 0.6360 0.2272
O 0.7643 0.2990 0.2129
O 0.7010 0.2357 0.7871
O 0.2553 0.2553 0.9163
O 0.7088 0.7088 0.4105
O 0.2912 0.2912 0.5895
O 0.7447 0.7447 0.0837
O 0.2990 0.7643 0.2129
O 0.2357 0.7010 0.7871
Sn 0.0000 0.0000 0.5000
Cr 0.0000 0.0000 0.0000

Calculated volume, Å³/f.u.: 169.7
E_tot, eV/atom: -6.3772
Size of the total moment, Bohr magnetons per cell: 4.0

=====

[2]
A relaxed structure of Ni2AgF, computed with PBE+U.

Lattice parameters (Å, degrees): 6.3959 6.3959 5.3057 52.93 52.93 90.00
Positions (direct):
Ni 0.5652 0.1250 0.2500
Ni 0.8750 0.8152 0.7500
Ni 0.1848 0.6250 0.2500
Ni 0.3750 0.4348 0.7500
F 0.5000 0.5000 0.0000
F 0.2500 0.7500 0.5000
Ag 0.7500 0.2500 0.5000
Ag 0.0000 0.0000 0.0000

Calculated volume, Å³/f.u.: 56.7
ΔE to the lowest computed polymorph, meV per atom: 0
E_tot, eV/atom: -2.4785
Size of the total moment, Bohr magnetons per cell: 4.3

=====

Question: What is the size of the total moment in the first record?
Answer: 4.0 Bohr magnetons per cell

=====

What did the first record say?
A relaxed structure of CrSnS2O8, computed with PBE+U.

Lattice parameters (Å, degrees): 5.0469 5.0469 7.4833 91.89 91.89 62.98
Positions (direct):
S 0.3640 0.3640 0.7728
S 0.6360 0.6360 0.2272
O 0.7643 0.2990 0.2129
O 0.7010 0.2357 0.7871
O 0.2553 0.2553 0.9163
O 0.7088 0.7088 0.4105
O 0.2912 0.2912 0.5895
O 0.7447 0.7447 0.0837
O 0.2990 0.7643 0.2129
O 0.2357 0.7010 0.7871
Sn 0.0000 0.0000 0.5000
Cr 0.0000 0.0000 0.0000

Calculated volume, Å³/f.u.: 169.7
E_tot, eV/atom: -6.3772
Size of the total moment, Bohr magnetons per cell: 4.0

=====

Question: Which value of E_tot does entry 1 give?
Answer: -6.3772 eV/atom